ZrIn4: relaxed, PBEsol.

Summary:
E above lowest polymorph: 318.1 meV/atom
total moment: 0.00 μB/cell
DFT formation energy: 0.193 eV/atom

a b c (Å): 8.163 8.163 8.163
angles (deg): 151.44 151.44 40.83
Fractional coordinates of all 5 atoms:
Zr (0.000, 0.000, 0.000)
In (0.250, 0.750, 0.500)
In (0.408, 0.408, 0.000)
In (0.592, 0.592, 0.000)
In (0.750, 0.250, 0.500)